VASP calculation (PBEsol) on InTc2Ge after structural relaxation.

Summary:
* spin magnetization: 0.000 μB/f.u.
* E_tot: -29.480 eV/cell

a b c (Å): 4.4143 4.4143 4.4143
angles (deg): 60.00 60.00 60.00
Closest atoms and distances in Å follow each position.
Fractional coordinates of all 4 atoms:
In: 0.0000 0.0000 0.0000  8 Tc 2.70
Tc: 0.2500 0.2500 0.2500  4 Ge 2.70, 4 In 2.70
Tc: 0.7500 0.7500 0.7500  4 Ge 2.70, 4 In 2.70
Ge: 0.5000 0.5000 0.5000  8 Tc 2.70



VASP calculation (PBEsol) on KAl2Rh after structural relaxation.

Summary:
* spin magnetization: 0.000 μB/f.u.
* E_tot: -15.418 eV/cell
* energy above the most stable polymorph in this dataset: 610.7 meV/atom

a b c (Å): 4.9384 4.9384 2.9135
angles (deg): 90.00 90.00 90.00
Closest atoms and distances in Å follow each position.
Fractional coordinates of all 4 atoms:
K: 0.0000 0.0000 0.0000  8 Al 2.87, 2 K 2.91
Al: 0.0000 0.5000 0.5000  4 K 2.87, 4 Rh 2.87, 2 Al 2.91
Al: 0.5000 0.0000 0.5000  4 K 2.87, 4 Rh 2.87, 2 Al 2.91
Rh: 0.5000 0.5000 0.0000  8 Al 2.87, 2 Rh 2.91



VASP calculation (PBEsol) on BeHg2As after structural relaxation.

Summary:
* spin magnetization: 0.000 μB/f.u.
* E_tot: -8.217 eV/cell
* energy above the most stable polymorph in this dataset: 433.2 meV/atom

a b c (Å): 4.6681 4.6681 3.7942
angles (deg): 90.00 90.00 111.50
Closest atoms and distances in Å follow each position.
Fractional coordinates of all 4 atoms:
Be: 0.0000 0.0000 0.0000  2 As 2.63
Hg: 0.0000 0.5000 0.5000  2 Hg 2.63
Hg: 0.5000 0.0000 0.5000  2 Hg 2.63
As: 0.5000 0.5000 0.0000  2 Be 2.63



VASP calculation (PBEsol) on SbMo3C after structural relaxation.

Summary:
* formation energy (no corrections): 0.145 eV/atom
* spin magnetization: 0.000 μB/f.u.
* E_tot: -48.780 eV/cell

a b c (Å): 4.1680 4.1680 4.1680
angles (deg): 90.00 90.00 90.00
Closest atoms and distances in Å follow each position.
Fractional coordinates of all 5 atoms:
Sb: 0.0000 0.0000 0.0000  12 Mo 2.95
Mo: 0.0000 0.5000 0.5000  2 C 2.08
Mo: 0.5000 0.0000 0.5000  2 C 2.08
Mo: 0.5000 0.5000 0.0000  2 C 2.08
C: 0.5000 0.5000 0.5000  6 Mo 2.08



What did the first record say?
VASP calculation (PBEsol) on InTc2Ge after structural relaxation.

Summary:
* spin magnetization: 0.000 μB/f.u.
* E_tot: -29.480 eV/cell

a b c (Å): 4.4143 4.4143 4.4143
angles (deg): 60.00 60.00 60.00
Closest atoms and distances in Å follow each position.
Fractional coordinates of all 4 atoms:
In: 0.0000 0.0000 0.0000  8 Tc 2.70
Tc: 0.2500 0.2500 0.2500  4 Ge 2.70, 4 In 2.70
Tc: 0.7500 0.7500 0.7500  4 Ge 2.70, 4 In 2.70
Ge: 0.5000 0.5000 0.5000  8 Tc 2.70